Record 1
The following is a GGA-PBE calculation of crystalline NaHf2Hg2 at its relaxed geometry, from the Alexandria database.

Computed properties:
Energy: -42.35 eV for the cell shown
Magnetic moment: 0.00 μB/f.u.
E_form: 13 kJ per mole of atoms
Energy above the most stable polymorph in this dataset: 0.015 eV/atom

a b c (Å): 8.842 8.842 3.006
angles (deg): 90.00 90.00 90.00
Fractional coordinates of all 10 atoms:
Na: 0.000 0.000 0.000
Na: 0.500 0.500 0.000
Hf: 0.121 0.379 0.000
Hf: 0.379 0.879 0.000
Hf: 0.621 0.121 0.000
Hf: 0.879 0.621 0.000
Hg: 0.175 0.675 0.500
Hg: 0.325 0.175 0.500
Hg: 0.675 0.825 0.500
Hg: 0.825 0.325 0.500

=====

Record 2
The following is a GGA-PBE calculation of crystalline NaHf2Hg2 at its relaxed geometry, from the Alexandria database.

Computed properties:
Energy: -42.49 eV for the cell shown
Magnetic moment: 0.00 μB/f.u.
E_form: 11 kJ per mole of atoms
Energy above the most stable polymorph in this dataset: 0.000 eV/atom

a b c (Å): 8.701 8.701 3.115
angles (deg): 90.00 90.00 90.00
Fractional coordinates of all 10 atoms:
Na: 0.000 0.000 0.000
Na: 0.500 0.500 0.000
Hf: 0.123 0.377 0.500
Hf: 0.377 0.877 0.500
Hf: 0.623 0.123 0.500
Hf: 0.877 0.623 0.500
Hg: 0.175 0.675 0.000
Hg: 0.325 0.175 0.000
Hg: 0.675 0.825 0.000
Hg: 0.825 0.325 0.000

=====

Record 3
The following is a GGA-PBE calculation of crystalline NaHfHg2Os at its relaxed geometry, from the Alexandria database.

Computed properties:
Energy: -15.76 eV for the cell shown
Magnetic moment: 0.00 μB/f.u.
E_form: 142 kJ per mole of atoms

a b c (Å): 5.155 5.155 4.969
angles (deg): 90.00 90.00 90.00
Fractional coordinates of all 5 atoms:
Na: 0.000 0.000 0.000
Hf: 0.500 0.500 0.000
Hg: 0.000 0.500 0.500
Hg: 0.500 0.000 0.500
Os: 0.000 0.000 0.500

=====

Record 4
The following is a GGA-PBE calculation of crystalline Na2HfHgS4 at its relaxed geometry, from the Alexandria database.

Computed properties:
Energy: -37.87 eV for the cell shown
Magnetic moment: 0.00 μB/f.u.
Energy relative to the elements, uncorrected: -1.0578 eV/atom

a b c (Å): 7.068 3.797 7.070
angles (deg): 90.00 112.26 90.00
Fractional coordinates of all 8 atoms:
Na: 0.000 0.000 0.000
Na: 0.500 0.500 0.000
Hf: 0.000 0.500 0.500
Hg: 0.500 0.000 0.500
S: 0.210 0.000 0.733
S: 0.239 0.500 0.298
S: 0.761 0.500 0.702
S: 0.790 0.000 0.267

=====

Record 5
The following is a GGA-PBE calculation of crystalline Na2HfTaHg at its relaxed geometry, from the Alexandria database.

Computed properties:
Energy: -18.22 eV for the cell shown
Magnetic moment: 0.00 μB/f.u.
E_form: 126 kJ per mole of atoms

a b c (Å): 4.894 4.894 5.522
angles (deg): 90.00 90.00 90.00
Fractional coordinates of all 5 atoms:
Na: 0.000 0.500 0.000
Na: 0.500 0.000 0.000
Hf: 0.000 0.000 0.500
Ta: 0.500 0.500 0.500
Hg: 0.500 0.500 0.000

=====

Record 6
The following is a GGA-PBE calculation of crystalline NaHfHg2Te at its relaxed geometry, from the Alexandria database.

Computed properties:
Energy: -11.92 eV for the cell shown
Magnetic moment: 0.00 μB/f.u.
Energy relative to the elements, uncorrected: 0.6195 eV/atom

a b c (Å): 5.880 5.880 5.386
angles (deg): 90.00 90.00 90.00
Fractional coordinates of all 5 atoms:
Na: 0.000 0.000 0.000
Hf: 0.500 0.500 0.000
Hg: 0.000 0.500 0.500
Hg: 0.500 0.000 0.500
Te: 0.500 0.500 0.500

=====

Record 7
The following is a GGA-PBE calculation of crystalline Na2HfHgTe4 at its relaxed geometry, from the Alexandria database.

Computed properties:
Energy: -30.57 eV for the cell shown
Magnetic moment: 0.00 μB/f.u.
Energy relative to the elements, uncorrected: -0.6387 eV/atom

a b c (Å): 7.859 4.229 7.905
angles (deg): 90.00 110.38 90.00
Fractional coordinates of all 8 atoms:
Na: 0.000 0.000 0.000
Na: 0.500 0.500 0.000
Hf: 0.000 0.500 0.500
Hg: 0.500 0.000 0.500
Te: 0.215 0.000 0.733
Te: 0.247 0.500 0.294
Te: 0.753 0.500 0.706
Te: 0.785 0.000 0.267

=====

Record 8
The following is a GGA-PBE calculation of crystalline Na2HfTlHg at its relaxed geometry, from the Alexandria database.

Computed properties:
Energy: -10.64 eV for the cell shown
Magnetic moment: 0.71 μB/f.u.
E_form: 89 kJ per mole of atoms

a b c (Å): 6.518 6.518 5.435
angles (deg): 90.00 90.00 90.00
Fractional coordinates of all 5 atoms:
Na: 0.000 0.500 0.000
Na: 0.500 0.000 0.000
Hf: 0.000 0.000 0.000
Tl: 0.000 0.000 0.500
Hg: 0.500 0.500 0.500